Entry 1:
An optimized crystal structure of AlCu2As. Source: the Alexandria database, functional PBE.

- E_tot (eV per cell) = -32.8
- N(E_F) (states/eV/f.u.) = 1.5
- E_form (eV/atom) = 0.0464
- SG = I-42d

The structure in extended XYZ format:
```
8
Lattice="-2.949 -1.673 -1.851 1.184 -3.461 1.242 -5.654 -1.740 6.549" Properties=species:S:1:pos:R:3 pbc="T T T"
As 0.000 0.000 0.000
As -4.743 -2.990 2.196
Al -0.883 -2.567 -0.305
Al -2.677 -3.884 3.743
Cu -3.089 -1.902 0.648
Cu -1.062 -2.818 2.170
Cu -4.895 -3.253 4.691
Cu -5.793 -5.774 4.370
```

---

Entry 2:
An optimized crystal structure of Al3CuAs. Source: the Alexandria database, functional PBE.

- E_tot (eV per cell) = -18.7
- N(E_F) (states/eV/f.u.) = 3.1
- E_form (eV/atom) = 0.2543
- SG = Pm-3m

The structure in extended XYZ format:
```
5
Lattice="4.565 0.000 0.000 0.000 4.565 0.000 0.000 0.000 4.565" Properties=species:S:1:pos:R:3 pbc="T T T"
As 2.282 2.282 2.282
Al 0.000 2.282 0.000
Al 0.000 0.000 2.282
Al 2.282 0.000 0.000
Cu 0.000 0.000 0.000
```

---

Entry 3:
An optimized crystal structure of AlCu2As. Source: the Alexandria database, functional PBE.

- E_tot (eV per cell) = -16.3
- N(E_F) (states/eV/f.u.) = 2.9
- E_form (eV/atom) = 0.0632
- SG = R-3m

The structure in extended XYZ format:
```
4
Lattice="-3.782 3.578 5.964 -6.091 2.465 4.416 -4.631 0.737 6.378" Properties=species:S:1:pos:R:3 pbc="T T T"
As -10.878 5.085 12.568
Al -3.626 1.695 4.189
Cu -14.498 6.777 16.750
Cu -7.258 3.393 8.386
```

---

Entry 4:
An optimized crystal structure of AlCu2As. Source: the Alexandria database, functional PBE.

- E_tot (eV per cell) = -16.4
- N(E_F) (states/eV/f.u.) = 1.9
- E_form (eV/atom) = 0.0446
- SG = I-4m2

The structure in extended XYZ format:
```
4
Lattice="-3.407 -1.837 2.870 -1.264 -4.459 -1.321 4.243 2.128 0.831" Properties=species:S:1:pos:R:3 pbc="T T T"
As 0.321 -2.740 0.143
Al -2.336 -3.148 0.775
Cu -4.671 -6.295 1.549
Cu -0.749 -1.428 2.238
```

---

Entry 5:
An optimized crystal structure of AlCu2As. Source: the Alexandria database, functional PBE.

- E_tot (eV per cell) = -16.2
- N(E_F) (states/eV/f.u.) = 1.5
- E_form (eV/atom) = 0.0955
- SG = R3m

The structure in extended XYZ format:
```
4
Lattice="-0.263 -4.888 6.326 -0.930 -6.780 4.141 1.906 -6.151 4.745" Properties=species:S:1:pos:R:3 pbc="T T T"
As 0.531 -13.291 11.347
Al 0.360 -9.015 7.697
Cu 0.710 -17.779 15.178
Cu 0.178 -4.461 3.809
```

---

Entry 6:
An optimized crystal structure of AlCu2As. Source: the Alexandria database, functional PBE.

- E_tot (eV per cell) = -16.5
- N(E_F) (states/eV/f.u.) = 0.7
- E_form (eV/atom) = 0.0322
- SG = Cm

The structure in extended XYZ format:
```
4
Lattice="-4.083 1.761 -2.299 -4.982 0.477 0.026 0.099 3.816 2.144" Properties=species:S:1:pos:R:3 pbc="T T T"
As -6.739 4.567 -0.087
Al -4.543 2.994 -0.106
Cu -8.977 2.240 -2.238
Cu -2.256 1.517 -0.036
```

---

Entry 7:
An optimized crystal structure of AlCu2As. Source: the Alexandria database, functional PBE.

- E_tot (eV per cell) = -16.0
- N(E_F) (states/eV/f.u.) = 1.1
- E_form (eV/atom) = 0.1536
- SG = F-43m

The structure in extended XYZ format:
```
4
Lattice="-2.521 -1.730 3.154 1.624 -0.578 4.041 -1.408 2.517 3.314" Properties=species:S:1:pos:R:3 pbc="T T T"
As -1.729 0.156 7.882
Al -1.153 0.104 5.255
Cu 0.000 0.000 0.000
Cu -0.576 0.052 2.627
```

---

Entry 8:
An optimized crystal structure of AlCu2As. Source: the Alexandria database, functional PBE.

- E_tot (eV per cell) = -16.3
- N(E_F) (states/eV/f.u.) = 1.5
- E_form (eV/atom) = 0.0795
- SG = P4mm

The structure in extended XYZ format:
```
4
Lattice="2.841 0.000 0.000 0.000 2.841 0.000 0.000 0.000 7.337" Properties=species:S:1:pos:R:3 pbc="T T T"
As 1.421 1.421 5.694
Al 0.000 0.000 3.368
Cu 0.000 0.000 0.156
Cu 1.421 1.421 1.787
```

---

Respective ΔE to the lowest computed polymorph values: 0.19, 0.00, 0.26, 0.18, 0.39, 0.13, 0.62, 0.32 eV/f.u..